No. 1
Density functional theory data (PBE-GGA) for a relaxed Ce2PaHg crystal.

Properties
- Relative energy among the computed polymorphs: 154 meV per atom
- M_tot: 1.92 μB/f.u.
- Space group: P4/mmm (123)
- Total DFT energy (no corrections): -5.360 eV per atom
- ΔE_f: 56 meV/atom

Unit cell a=4.618 b=4.749 c=4.749 alpha=90.00 beta=90.00 gamma=90.00
Each line ends with the local moment (μB).
Positions (direct):
Ce1 0.000 0.500 0.000  0.51
Ce2 0.000 0.000 0.500  0.51
Pa1 0.500 0.500 0.500  0.59
Hg1 0.500 0.000 0.000  0.00



No. 2
Density functional theory data (PBE-GGA) for a relaxed Sc2P2Au crystal.

Properties
- M_tot: 0.00 μB/f.u.
- Space group: P4/mbm (127)
- Total DFT energy (no corrections): -6.309 eV per atom
- ΔE_f: -957 meV/atom

Unit cell a=7.074 b=7.074 c=3.520 alpha=90.00 beta=90.00 gamma=90.00
Positions (direct):
Au1 0.000 0.000 0.000
Sc1 0.155 0.655 0.500
Sc2 0.655 0.845 0.500
Au2 0.500 0.500 0.000
P1 0.155 0.345 0.000
P2 0.655 0.155 0.000
Sc3 0.345 0.155 0.500
P3 0.845 0.655 0.000
Sc4 0.845 0.345 0.500
P4 0.345 0.845 0.000



No. 3
Density functional theory data (PBE-GGA) for a relaxed Pm2YSc crystal.

Properties
- Relative energy among the computed polymorphs: 0 meV per atom
- M_tot: 0.00 μB/f.u.
- Space group: P4/mmm (123)
- Total DFT energy (no corrections): -5.534 eV per atom
- ΔE_f: 40 meV/atom

Unit cell a=3.596 b=3.596 c=9.654 alpha=90.00 beta=90.00 gamma=90.00
Positions (direct):
Y1 0.500 0.500 0.500
Pm1 0.000 0.000 0.237
Sc1 0.500 0.500 0.000
Pm2 0.000 0.000 0.763



No. 4
Density functional theory data (PBE-GGA) for a relaxed Mn2CuBi crystal.

Properties
- M_tot: 0.11 μB/f.u.
- Space group: I-42d (122)
- Total DFT energy (no corrections): -5.808 eV per atom
- ΔE_f: 771 meV/atom

Unit cell a=3.799 b=3.799 c=9.451 alpha=78.41 beta=78.41 gamma=90.00
Each line ends with the local moment (μB).
Positions (direct):
Mn1 0.375 0.475 0.750  0.04
Bi1 0.000 0.000 0.000  -0.01
Cu1 0.250 0.750 0.500  0.00
Mn2 0.525 0.125 0.250  0.06
Mn3 0.875 0.775 0.750  0.05
Bi2 0.750 0.250 0.500  -0.01
Cu2 0.500 0.500 0.000  0.00
Mn4 0.225 0.625 0.250  0.07



No. 5
Density functional theory data (PBE-GGA) for a relaxed Pa2ZnPt2 crystal.

Properties
- Relative energy among the computed polymorphs: 106 meV per atom
- M_tot: 0.00 μB/f.u.
- Space group: Cmc2_1 (36)
- Total DFT energy (no corrections): -7.159 eV per atom
- ΔE_f: -689 meV/atom

Unit cell a=4.343 b=5.900 c=8.209 alpha=90.00 beta=105.34 gamma=90.00
Positions (direct):
Pt1 0.829 0.871 0.658
Pa1 0.988 0.304 0.976
Pt2 0.403 0.551 0.806
Pt3 0.597 0.051 0.194
Zn1 0.399 0.047 0.799
Pa2 0.012 0.804 0.024
Pa3 0.209 0.861 0.418
Pa4 0.791 0.361 0.582
Pt4 0.171 0.371 0.342
Zn2 0.601 0.547 0.201



No. 6
Density functional theory data (PBE-GGA) for a relaxed TlSb2Pb crystal.

Properties
- M_tot: 0.00 μB/f.u.
- Space group: Pmm2 (25)
- Total DFT energy (no corrections): -3.532 eV per atom
- Energy relative to the elements, uncorrected: 47 meV per atom

Unit cell a=5.488 b=3.281 c=6.751 alpha=90.01 beta=90.00 gamma=90.00
Positions (direct):
Tl1 0.000 0.500 0.493
Sb1 0.000 0.000 0.016
Pb1 0.500 0.000 0.747
Sb2 0.500 0.000 0.244



No. 7
Density functional theory data (PBE-GGA) for a relaxed U3CoC3 crystal.

Properties
- M_tot: 4.02 μB/f.u.
- Space group: P6_3/m (176)
- Total DFT energy (no corrections): -9.862 eV per atom
- ΔE_f: -56 meV/atom

Unit cell a=4.849 b=7.115 c=7.115 alpha=120.00 beta=90.00 gamma=90.00
Each line ends with the local moment (μB).
Positions (direct):
U1 0.750 0.359 0.075  1.32
C1 0.750 0.324 0.391  -0.06
C2 0.250 0.932 0.324  -0.06
Co1 0.750 0.333 0.667  -0.37
C3 0.750 0.068 0.676  -0.06
U2 0.250 0.641 0.925  1.32
C4 0.250 0.676 0.609  -0.06
C5 0.250 0.391 0.068  -0.06
Co2 0.250 0.667 0.333  -0.37
U3 0.750 0.717 0.641  1.32
U4 0.250 0.075 0.717  1.32
U5 0.250 0.283 0.359  1.32
U6 0.750 0.925 0.283  1.32
C6 0.750 0.609 0.932  -0.06



No. 8
Density functional theory data (PBE-GGA) for a relaxed Y4PtO crystal.

Properties
- M_tot: 0.00 μB/f.u.
- Space group: C2/c (15)
- Total DFT energy (no corrections): -7.454 eV per atom
- Energy relative to the elements, uncorrected: -1311 meV per atom

Unit cell a=6.340 b=6.559 c=8.478 alpha=110.92 beta=110.07 gamma=94.57
Positions (direct):
Pt1 0.372 0.622 0.244
Y1 0.315 0.941 0.601
O1 0.144 0.894 0.788
Pt2 0.628 0.378 0.756
Y2 0.215 0.340 0.399
O2 0.856 0.106 0.212
Y3 0.035 0.219 0.886
Y4 0.649 0.333 0.114
Y5 0.785 0.660 0.601
Y6 0.351 0.667 0.886
Y7 0.685 0.059 0.399
Y8 0.965 0.781 0.114



> Among the records above, which one has the lowest total DFT energy (no corrections)?

U3CoC3



> Which value of total DFT energy (no corrections) does entry 8 give?

-7.454 eV per atom